# Ce3Ga4Ge3, relaxed, DFT GGA-PBE
data_Ce3Ga4Ge3
_chemical_formula_sum 'Ce12 Ga16 Ge12'
_symmetry_space_group_name_H-M 'I -4 3 d'
_symmetry_Int_Tables_number 220
_symmetry_space_group_name_Hall 'I -4bd 2c 3'
_cell_length_a 9.616
_cell_length_b 9.616
_cell_length_c 9.616
_cell_angle_alpha 90.00
_cell_angle_beta 90.00
_cell_angle_gamma 90.00
loop_
_atom_site_label
_atom_site_type_symbol
_atom_site_fract_x
_atom_site_fract_y
_atom_site_fract_z
_atom_site_occupancy
Ce1 Ce 0.000 0.250 0.875 1
Ga1 Ga 0.098 0.402 0.598 1
Ge1 Ge 0.000 0.250 0.375 1
# **Calculated formation energy**: -0.483 eV/atom